(1)
Entry from Alexandria via LeMat-Bulk: a geometry-optimized Ba2CaMgAg structure (PBE).

DOS at the Fermi energy	0.8217	states/eV per atom
space group	P4/mmm

a b c (Å): 6.407 6.407 5.826
angles (deg): 90.00 90.00 90.00
Fractional coordinates of all 5 atoms:
Mg 0.500 0.500 0.500
Ca 0.000 0.000 0.500
Ag 0.000 0.000 0.000
Ba 0.500 0.000 0.000
Ba 0.000 0.500 0.000

---

(2)
Entry from Alexandria via LeMat-Bulk: a geometry-optimized Ba2CaMgAg structure (PBE).

DOS at the Fermi energy	1.1610	states/eV per atom
space group	P4/mmm

a b c (Å): 6.499 6.499 5.327
angles (deg): 90.00 90.00 90.00
Fractional coordinates of all 5 atoms:
Mg 0.000 0.000 0.500
Ba 0.500 0.000 0.000
Ba 0.000 0.500 0.000
Ag 0.000 0.000 0.000
Ca 0.500 0.500 0.500

---

Which structure loses on stability? (1) does.